[1]
Below is a geometry-optimized Nb2V2ZnRh5 structure, with properties calculated at the PBE level.

Lattice parameters (Å, degrees): 3.7416 9.0417 9.0417 90.00 90.00 90.00
With the nearest neighbours (Å) after each atom.
Positions (direct):
Nb (0.0000, 0.6742, 0.1742)  3 V 2.50-2.78
Nb (0.0000, 0.3258, 0.8258)  3 V 2.50-2.78
Nb (0.0000, 0.1742, 0.3258)  3 V 2.50-2.78
Nb (0.0000, 0.8258, 0.6742)  3 V 2.50-2.78
V (0.0000, 0.1305, 0.6305)  6 Rh 2.46-2.51, 1 Nb 2.50
V (0.0000, 0.8695, 0.3695)  6 Rh 2.46-2.51, 1 Nb 2.50
V (0.0000, 0.6305, 0.8695)  6 Rh 2.46-2.51, 1 Nb 2.50
V (0.0000, 0.3695, 0.1305)  6 Rh 2.46-2.51, 1 Nb 2.50
Zn (0.0000, 0.0000, 0.0000)  8 Rh 2.70
Zn (0.0000, 0.5000, 0.5000)  8 Rh 2.70
Rh (0.5000, 0.2041, 0.0670)  2 V 2.46, 2 Zn 2.70, 3 Rh 2.74-2.75
Rh (0.5000, 0.7959, 0.9330)  2 V 2.46, 2 Zn 2.70, 3 Rh 2.74-2.75
Rh (0.5000, 0.0670, 0.7959)  2 V 2.46, 2 Zn 2.70, 3 Rh 2.74-2.75
Rh (0.5000, 0.7041, 0.4330)  2 V 2.46, 2 Zn 2.70, 3 Rh 2.74-2.75
Rh (0.5000, 0.9330, 0.2041)  2 V 2.46, 2 Zn 2.70, 3 Rh 2.74-2.75
Rh (0.5000, 0.2959, 0.5670)  2 V 2.46, 2 Zn 2.70, 3 Rh 2.74-2.75
Rh (0.5000, 0.5670, 0.7041)  2 V 2.46, 2 Zn 2.70, 3 Rh 2.74-2.75
Rh (0.5000, 0.4330, 0.2959)  2 V 2.46, 2 Zn 2.70, 3 Rh 2.74-2.75
Rh (0.5000, 0.5000, 0.0000)  4 V 2.51, 4 Rh 2.74
Rh (0.5000, 0.0000, 0.5000)  4 V 2.51, 4 Rh 2.74

Summary:
* mass density: 9.42 Mg/m³
* SG: No. 127
* M_tot: 0.0000 μB/atom
* energy of formation: -0.23 eV/atom

***

[2]
Below is a geometry-optimized La4Dy3Hg structure, with properties calculated at the PBE level.

Lattice parameters (Å, degrees): 3.7466 3.7466 19.0216 90.00 90.00 90.00
With the nearest neighbours (Å) after each atom.
Positions (direct):
Dy (0.5000, 0.5000, 0.2421)  8 La 3.61-3.67, 4 Dy 3.75
Dy (0.5000, 0.5000, 0.5000)  8 La 3.61, 4 Dy 3.75
Dy (0.5000, 0.5000, 0.7579)  8 La 3.61-3.67, 4 Dy 3.75
Hg (0.5000, 0.5000, 0.0000)  8 La 3.36, 4 Hg 3.75
La (0.0000, 0.0000, 0.8912)  4 Hg 3.36, 4 Dy 3.67, 4 La 3.75
La (0.0000, 0.0000, 0.1088)  4 Hg 3.36, 4 Dy 3.67, 4 La 3.75
La (0.0000, 0.0000, 0.3709)  8 Dy 3.61, 4 La 3.75
La (0.0000, 0.0000, 0.6291)  8 Dy 3.61, 4 La 3.75

Summary:
* mass density: 7.73 Mg/m³
* SG: No. 123
* M_tot: 0.0000 μB/atom
* energy of formation: -0.09 eV/atom

***

[3]
Below is a geometry-optimized UBeOs structure, with properties calculated at the PBE level.

Lattice parameters (Å, degrees): 3.6761 3.6761 8.7514 102.12 102.12 90.00
With the nearest neighbours (Å) after each atom.
Positions (direct):
Os (0.0810, 0.0810, 0.1620)  1 Be 2.28
Os (0.9190, 0.9190, 0.8380)  1 Be 2.28
U (0.6115, 0.6115, 0.2229)  4 Os 2.65, 1 Be 2.86
U (0.3885, 0.3885, 0.7771)  4 Os 2.65, 1 Be 2.86
Be (0.7828, 0.7828, 0.5655)  1 Os 2.28
Be (0.2172, 0.2172, 0.4345)  1 Os 2.28

Summary:
* mass density: 12.86 Mg/m³
* SG: No. 139
* M_tot: 0.2103 μB/atom
* energy of formation: 0.33 eV/atom
* energy above the most stable polymorph in this dataset: 349 meV/atom

***

[4]
Below is a geometry-optimized La3Pr2Nd3 structure, with properties calculated at the PBE level.

Lattice parameters (Å, degrees): 5.2428 5.2504 11.1328 103.64 103.62 90.00
With the nearest neighbours (Å) after each atom.
Positions (direct):
La (0.6241, 0.6241, 0.2481)  6 Nd 3.70-3.71, 2 La 3.70, 4 Pr 3.72-3.73
La (0.3759, 0.3759, 0.7519)  6 Nd 3.70-3.71, 2 La 3.70, 4 Pr 3.72-3.73
La (0.5000, 0.0000, 0.0000)  4 La 3.70, 8 Nd 3.71-3.72
Pr (0.7493, 0.2493, 0.4987)  4 Nd 3.69-3.71, 4 Pr 3.71, 4 La 3.72-3.73
Pr (0.2507, 0.7507, 0.5013)  4 Nd 3.69-3.71, 4 Pr 3.71, 4 La 3.72-3.73
Nd (0.1259, 0.1259, 0.2517)  4 Pr 3.69-3.71, 6 La 3.71-3.72, 2 Nd 3.72
Nd (0.0000, 0.5000, 0.0000)  8 La 3.70-3.71, 4 Nd 3.72
Nd (0.8741, 0.8741, 0.7483)  4 Pr 3.69-3.71, 6 La 3.71-3.72, 2 Nd 3.72

Summary:
* mass density: 6.50 Mg/m³
* SG: No. 71
* M_tot: 0.0000 μB/atom
* energy of formation: 0.01 eV/atom
* energy above the most stable polymorph in this dataset: 0 meV/atom

***

Results for N(E_F): 16.601; 11.320; 8.309; 13.949 (in states/eV/cell, following the order of the records).